! PBE with a Hubbard U CoPtNO, optimized geometry; values from VASP
! ρ: 10.1 g/cm³
! distance to the lowest polymorph of the same formula: 0.018 eV per atom
! space-group type: No. 26
&SYSTEM
  ibrav = 0, nat = 8, ntyp = 4
/
ATOMIC_SPECIES
Co 58.93 Co.upf
N 14.01 N.upf
O 16.00 O.upf
Pt 195.08 Pt.upf
ATOMIC_POSITIONS crystal
Co 0.0000 0.1365 0.4972
Co 0.0000 0.8635 0.9972
N 0.0000 0.8456 0.3282
N 0.0000 0.1544 0.8282
O 0.5000 0.3480 0.3938
O 0.5000 0.6520 0.8938
Pt 0.5000 0.2773 0.0348
Pt 0.5000 0.7227 0.5348
CELL_PARAMETERS angstrom
2.8907 0.0000 0.0000
0.0000 5.5954 0.0000
0.0000 0.0000 5.7718